! CsCaAl2Sn SCAN single point on PBEsol structure; values from VASP
! Formation enthalpy at 0 K   388 meV/atom
! E_tot   -96.96 eV/f.u.
! Space group   P4/mmm, No. 123
! D(E_F)   3.8 states/eV per cell
! V   180 Å³ per cell
&SYSTEM
  ibrav = 0, nat = 5, ntyp = 4
/
ATOMIC_SPECIES
Cs 132.91 Cs.upf
Sn 118.71 Sn.upf
Al 26.98 Al.upf
Ca 40.08 Ca.upf
ATOMIC_POSITIONS crystal
Cs 0.500 0.500 0.500
Sn 0.000 0.000 0.000
Al 0.000 0.500 0.000
Ca 0.000 0.000 0.500
Al 0.500 0.000 0.000
CELL_PARAMETERS angstrom
5.533 0.000 0.000
0.000 5.533 0.000
0.000 0.000 5.868


! ZrCd2Te SCAN single point on PBEsol structure; values from VASP
! Raw formation energy   -0.130 eV/atom
! E_tot   -129.30 eV/f.u.
! Space group   Pmmm, No. 47
! D(E_F)   2.7 states/eV per cell
! V   87 Å³ per cell
&SYSTEM
  ibrav = 0, nat = 4, ntyp = 3
/
ATOMIC_SPECIES
Zr 91.22 Zr.upf
Cd 112.41 Cd.upf
Te 127.60 Te.upf
ATOMIC_POSITIONS crystal
Zr 0.000 0.500 0.500
Cd 0.500 0.500 0.000
Te 0.500 0.000 0.500
Cd 0.000 0.000 0.000
CELL_PARAMETERS angstrom
4.189 0.000 0.000
0.000 4.148 0.000
0.000 0.000 5.021